(1)
This record from Alexandria via LeMat-Bulk describes a relaxed Ta2CoBr crystal. The functional is GGA-PBE.

The calculation puts the energy above the most stable polymorph in this dataset at 0.557 eV/atom. The value obtained for the density is 12.4 Mg/m³. The energy relative to the elements, uncorrected comes out at 0.64 eV per atom.

The structure belongs to space group Immm (No. 71); the cell edges are 3.196, 4.641 and 9.008 Å and the angles 90.00°, 90.00° and 90.00°. The inequivalent atoms are Ta at (0.000, 0.000, 0.248), Co at (0.000, 0.500, 0.500) and Br at (0.000, 0.500, 0.000).


(2)
This record from Alexandria via LeMat-Bulk describes a relaxed TaCd2Ru crystal. The functional is GGA-PBE.

The formation energy comes out at 0.361 eV/atom. The calculation puts the energy above the most stable polymorph in this dataset at 0.348 eV/atom. The value obtained for the density is 11.7 Mg/m³.

The structure belongs to space group C2/m (No. 12); the cell edges are 5.483, 9.772 and 2.855 Å and the angles 90.00°, 109.25° and 90.00°. The inequivalent atoms are Ta at (0.000, 0.000, 0.000), Cd at (0.250, 0.250, 0.500) and Ru at (0.000, 0.500, 0.000).


(3)
This record from Alexandria via LeMat-Bulk describes a relaxed CuSiTc2 crystal. The functional is GGA-PBE.

The value obtained for the density is 8.7 Mg/m³. The energy relative to the elements, uncorrected comes out at 0.04 eV per atom.

The structure belongs to space group Immm (No. 71); the cell edges are 2.982, 4.350 and 8.511 Å and the angles 90.00°, 90.00° and 90.00°. The inequivalent atoms are Cu at (0.000, 0.000, 0.000), Si at (0.000, 0.000, 0.500) and Tc at (0.000, 0.500, 0.225).


(4)
This record from Alexandria via LeMat-Bulk describes a relaxed Co2Rh2Pb crystal. The functional is GGA-PBE.

The formation energy comes out at 0.299 eV/atom. The calculation puts the energy above the most stable polymorph in this dataset at 0.015 eV/atom. The value obtained for the density is 11.3 Mg/m³.

The structure belongs to space group P4/mbm (No. 127); the cell edges are 7.368, 7.368 and 2.864 Å and the angles 90.00°, 90.00° and 90.00°. The inequivalent atoms are Co at (0.159, 0.341, 0.000), Rh at (0.132, 0.632, 0.500) and Pb at (0.000, 0.000, 0.500).